# 1
## CaMg2BPt (PBE-GGA)

Data for a relaxed CaMg2BPt crystal.

POSCAR file:
```
CaMg2BPt
1.0
-1.5774 -0.7459 -5.6317
5.6265 -1.0120 -1.4419
-0.6608 -4.8531 0.8279
Mg B Pt Ca
2 1 1 1
Cartesian
2.8133 -0.5060 -0.7209 Mg
-0.7887 -0.3730 -2.8159 Mg
1.6942 -3.3055 -3.1229 B
-0.3304 -2.4266 0.4139 Pt
0.0000 0.0000 0.0000 Ca
```

Results
- ΔE_f (kJ/mol of atoms) = 164.01
- crystal system = tetragonal
- total DFT energy (no corrections) (eV per atom) = -1.88
- SG = No. 123

# 2
## CsCdInHg (PBE-GGA)

Data for a relaxed CsCdInHg crystal.

POSCAR file:
```
CsCdInHg
1.0
-3.8488 -3.7613 2.2688
1.8050 -4.1637 3.6761
-1.3884 0.3035 5.6647
In Cs Hg Cd
1 1 1 1
Cartesian
0.0000 0.0000 0.0000 In
-1.7161 -3.8108 5.8048 Cs
-0.8581 -1.9054 2.9024 Hg
-2.5742 -5.7161 8.7071 Cd
```

Results
- ΔE_f (kJ/mol of atoms) = 2.99
- crystal system = cubic
- total DFT energy (no corrections) (eV per atom) = -1.17
- SG = No. 216

# 3
## TaReTc2Sn (PBE-GGA)

Data for a relaxed TaReTc2Sn crystal.

POSCAR file:
```
TaReTc2Sn
1.0
4.7553 0.0000 0.0000
0.0000 4.8476 0.0000
0.0000 0.0000 4.7553
Tc Re Ta Sn
2 1 1 1
Cartesian
2.3777 0.0000 0.0000 Tc
0.0000 0.0000 2.3777 Tc
0.0000 2.4238 0.0000 Re
0.0000 0.0000 0.0000 Ta
2.3777 2.4238 2.3777 Sn
```

Results
- ΔE_f (kJ/mol of atoms) = 167.09
- crystal system = tetragonal
- total DFT energy (no corrections) (eV per atom) = -8.08
- SG = No. 123

# 4
## Ac5SmTm (PBE-GGA)

Data for a relaxed Ac5SmTm crystal.

POSCAR file:
```
Ac5SmTm
1.0
6.6083 -0.9773 1.8790
-0.5262 7.1555 -0.1496
-0.0381 -0.4886 12.6940
Sm Ac Tm
2 10 2
Cartesian
4.0105 4.3894 9.5151 Sm
2.0335 1.3002 4.9083 Sm
4.5405 6.1956 6.4371 Ac
5.1792 2.5832 6.6187 Ac
1.5035 -0.5059 7.9863 Ac
1.2510 2.1781 1.5484 Ac
0.8648 3.1064 7.8047 Ac
4.0503 0.8116 10.3752 Ac
4.7930 3.5115 12.8750 Ac
1.5773 5.2673 11.9606 Ac
1.9937 4.8780 4.0481 Ac
4.4667 0.4224 2.4627 Ac
5.6841 4.3894 3.6292 Tm
0.3599 1.3002 10.7942 Tm
```

Results
- ΔE_f (kJ/mol of atoms) = 22.84
- crystal system = monoclinic
- total DFT energy (no corrections) (eV per atom) = -4.01
- SG = No. 15

# 5
## ReP3Os (PBE-GGA)

Data for a relaxed ReP3Os crystal.

POSCAR file:
```
ReP3Os
1.0
-3.4933 2.6519 1.1841
-2.4913 -3.6882 0.9100
1.4925 0.0504 4.2904
P Os Re
3 1 1
Cartesian
-1.2457 -1.8441 0.4550 P
-1.7466 1.3259 0.5920 P
0.7463 0.0252 2.1452 P
0.0000 0.0000 0.0000 Os
-2.2461 -0.4929 3.1922 Re
```

Results
- ΔE_f (kJ/mol of atoms) = 141.99
- crystal system = cubic
- energy above the lowest structure with this stoichiometry (eV/atom) = 0.0462
- total DFT energy (no corrections) (eV per atom) = -6.51
- SG = No. 221

# 6
## CsHBr (PBE-GGA)

Data for a relaxed CsHBr crystal.

POSCAR file:
```
CsHBr
1.0
-0.5381 5.4749 0.3319
-4.5276 -0.5698 2.0605
2.2681 -0.2077 7.1076
H Br Cs
2 2 2
Cartesian
0.5371 1.1754 4.3647 H
-3.3347 3.5219 5.1353 H
-0.8753 3.9338 2.3291 Br
-1.9222 0.7636 7.1709 Br
-2.7670 0.9049 3.4689 Cs
-0.0305 3.7925 6.0311 Cs
```

Results
- crystal system = monoclinic
- energy above the lowest structure with this stoichiometry (eV/atom) = 0.6573
- total DFT energy (no corrections) (eV per atom) = -2.43
- SG = No. 11

# 7
## BaRe2Cl (PBE-GGA)

Data for a relaxed BaRe2Cl crystal.

POSCAR file:
```
BaRe2Cl
1.0
4.0071 0.0000 0.0000
0.0000 4.0071 0.0000
0.0000 0.0000 6.2572
Ba Re Cl
1 2 1
Cartesian
2.0036 2.0036 1.5643 Ba
0.0000 0.0000 5.7821 Re
0.0000 0.0000 3.6037 Re
2.0036 2.0036 4.6929 Cl
```

Results
- crystal system = tetragonal
- energy above the lowest structure with this stoichiometry (eV/atom) = 1.5210
- total DFT energy (no corrections) (eV per atom) = -5.53
- SG = No. 123

# 8
## BiBSb2Te (PBE-GGA)

Data for a relaxed BiBSb2Te crystal.

POSCAR file:
```
BiBSb2Te
1.0
4.9937 0.0000 0.0000
0.0000 4.9937 0.0000
0.0000 0.0000 4.8976
Sb Bi B Te
2 1 1 1
Cartesian
0.0000 2.4968 0.0000 Sb
2.4968 0.0000 0.0000 Sb
2.4968 2.4968 2.4488 Bi
0.0000 0.0000 0.0000 B
0.0000 0.0000 2.4488 Te
```

Results
- crystal system = tetragonal
- energy above the lowest structure with this stoichiometry (eV/atom) = 0.0000
- total DFT energy (no corrections) (eV per atom) = -3.78
- SG = No. 123

# 9
## SrLa2Nd (PBE-GGA)

Data for a relaxed SrLa2Nd crystal.

POSCAR file:
```
SrLa2Nd
1.0
3.8167 0.0000 0.0000
1.9084 3.3054 0.0000
1.9084 1.1018 12.6878
La Sr Nd
2 1 1
Cartesian
1.9084 1.1018 9.7417 La
1.9084 1.1018 2.9455 La
3.8167 2.2036 6.3384 Sr
3.8167 2.2036 0.0060 Nd
```

Results
- ΔE_f (kJ/mol of atoms) = 7.49
- crystal system = trigonal
- energy above the lowest structure with this stoichiometry (eV/atom) = 0.0052
- total DFT energy (no corrections) (eV per atom) = -4.00
- SG = No. 160

# 10
## Tl2Ge2PbAu7 (PBE-GGA)

Data for a relaxed Tl2Ge2PbAu7 crystal.

POSCAR file:
```
Tl2Ge2PbAu7
1.0
4.6158 -0.0775 -0.1689
-0.0719 4.6159 -0.1689
1.6163 1.6143 13.4650
Au Ge Tl Pb
7 2 2 1
Cartesian
1.8090 3.8773 11.2614 Au
3.6164 3.6120 7.6764 Au
3.8796 1.8043 11.2614 Au
4.3512 2.2754 1.8658 Au
2.5438 2.5407 5.4508 Au
2.2720 2.2692 -0.1689 Au
2.2807 4.3484 1.8658 Au
4.1355 4.1305 10.0718 Ge
2.0247 2.0222 3.0554 Ge
1.5208 1.5190 8.3593 Tl
4.6394 4.6337 4.7679 Tl
0.0000 0.0000 0.0000 Pb
```

Results
- ΔE_f (kJ/mol of atoms) = 0.10
- crystal system = monoclinic
- total DFT energy (no corrections) (eV per atom) = -3.38
- SG = No. 12

# 11
## Er4CuPd (PBE-GGA)

Data for a relaxed Er4CuPd crystal.

POSCAR file:
```
Er4CuPd
1.0
-3.2722 -6.8423 1.5651
5.9914 0.3156 -4.8967
2.8638 2.4131 6.7786
Cu Er Pd
2 8 2
Cartesian
4.4399 1.3347 0.9259 Cu
0.6921 -1.6613 -0.8480 Cu
2.2900 -3.2983 3.7187 Er
4.3051 0.0920 3.3624 Er
1.2694 -4.1851 0.0952 Er
6.9665 0.3171 0.5093 Er
-0.3208 -3.5336 6.6330 Er
3.2398 -0.8313 -0.2827 Er
-0.0794 -0.9153 1.7007 Er
-1.3306 -4.4139 2.9492 Er
5.7752 -1.8701 -0.7100 Pd
2.0273 -4.8661 -2.4839 Pd
```

Results
- ΔE_f (kJ/mol of atoms) = -15.14
- crystal system = tetragonal
- total DFT energy (no corrections) (eV per atom) = -4.75
- SG = No. 109

# 12
## CuNF3 (PBE-GGA)

Data for a relaxed CuNF3 crystal.

POSCAR file:
```
CuNF3
1.0
3.8834 0.0000 0.0000
0.0000 3.8834 0.0000
0.0000 0.0000 3.8834
Cu N F
1 1 3
Cartesian
0.0000 0.0000 0.0000 Cu
1.9417 1.9417 1.9417 N
0.0000 0.0000 1.9417 F
0.0000 1.9417 0.0000 F
1.9417 0.0000 0.0000 F
```

Results
- crystal system = cubic
- energy above the lowest structure with this stoichiometry (eV/atom) = 0.5177
- total DFT energy (no corrections) (eV per atom) = -3.60
- SG = No. 221